VASP calculation (GGA-PBE) on a relaxed structure of Cu5Pt4Rh2.

Lattice parameters (Å, degrees): 16.4705 3.9205 5.4202 90.00 99.49 90.00
Space group C2/m (No. 12)
Unique sites:
Cu: 0.0000 0.0000 0.0000 x2
Cu: 0.1310 0.5000 0.0641 x4
Cu: 0.1356 0.5000 0.5710 x4
Pt: 0.0001 0.5000 0.2643 x4
Pt: 0.2039 0.0000 0.3505 x4
Rh: 0.2102 0.0000 0.8565 x4

Values from the calculation:
**D(E_F)**: 32.0 states/eV per cell
**Total magnetization**: 0.0 μB/f.u.
**Calculated volume**: 15.691 Å³ per atom
**DFT formation energy**: 20 kJ per mole of atoms